# 1
Below is a PBEsol-optimized structure of RbMg2Al2, with properties calculated at the SCAN level.

The value obtained for the raw total energy is -9.043 eV/atom.

The structure belongs to space group I4/mmm (No. 139); the cell edges are 4.986, 4.986 and 11.235 Å and the angles 90.00°, 90.00° and 90.00°. The distinct sites, in fractional coordinates, are Rb at (0.000, 0.000, 0.000), Mg at (0.000, 0.500, 0.250) and Al at (0.000, 0.000, 0.384).

=====

# 2
Below is a PBEsol-optimized structure of ZrGa2PdCl, with properties calculated at the SCAN level.

The energy relative to the elements, uncorrected is 621 meV per atom. The value obtained for the raw total energy is -20.208 eV/atom.

The structure belongs to space group P4/mmm (No. 123); the cell edges are 5.349, 5.349 and 4.814 Å and the angles 90.00°, 90.00° and 90.00°. The distinct sites, in fractional coordinates, are Zr at (0.000, 0.000, 0.000), Ga at (0.000, 0.500, 0.000), Pd at (0.000, 0.000, 0.500) and Cl at (0.500, 0.500, 0.500).

=====

# 3
Below is a PBEsol-optimized structure of Y2Ta2Mn, with properties calculated at the SCAN level.

The value obtained for the raw total energy is -40.882 eV/atom.

The structure belongs to space group I4/mmm (No. 139); the cell edges are 3.772, 3.772 and 16.716 Å and the angles 90.00°, 90.00° and 90.00°. The distinct sites, in fractional coordinates, are Y at (0.000, 0.000, 0.098), Ta at (0.000, 0.500, 0.250) and Mn at (0.000, 0.000, 0.500).

=====

# 4
Below is a PBEsol-optimized structure of Li2BeCd2, with properties calculated at the SCAN level.

The value obtained for the raw total energy is -13.920 eV/atom.

The structure belongs to space group P4/mbm (No. 127); the cell edges are 6.674, 6.674 and 3.824 Å and the angles 90.00°, 90.00° and 90.00°. The distinct sites, in fractional coordinates, are Li at (0.157, 0.343, 0.000), Be at (0.000, 0.000, 0.500) and Cd at (0.154, 0.654, 0.500).